Density functional theory data (PBE) for a relaxed structure of NaSnBiTe3.

a = 9.2556 Å, b = 4.4370 Å, c = 10.4368 Å
α = 90.00°, β = 98.18°, γ = 90.00°
Atoms (fractional coordinates):
Na  0.1380  0.2500  0.1508
Na  0.8620  0.7500  0.8492
Sn  0.1314  0.2500  0.5354
Sn  0.8686  0.7500  0.4646
Bi  0.3683  0.7500  0.8405
Bi  0.6317  0.2500  0.1595
Te  0.1135  0.2500  0.8193
Te  0.3454  0.7500  0.5379
Te  0.3925  0.7500  0.1460
Te  0.6075  0.2500  0.8540
Te  0.6546  0.2500  0.4621
Te  0.8865  0.7500  0.1807

Density functional theory data (PBE) for a relaxed structure of MoSe2Br.

a = 6.5682 Å, b = 6.5682 Å, c = 7.0693 Å
α = 119.42°, β = 119.42°, γ = 27.99°
Atoms (fractional coordinates):
Mo  0.0000  0.0000  0.0000
Se  0.4851  0.4851  0.2569
Se  0.6629  0.6629  0.0507
Br  0.3477  0.3477  0.6828

Density functional theory data (PBE) for a relaxed structure of CaSm2N2Cl2.

a = 7.7958 Å, b = 7.7958 Å, c = 7.7958 Å
α = 147.08°, β = 147.08°, γ = 47.25°
Atoms (fractional coordinates):
Ca  0.0000  0.0000  0.0000
Sm  0.3984  0.3984  0.0000
Sm  0.6016  0.6016  0.0000
N  0.0000  0.5000  0.5000
N  0.5000  0.0000  0.5000
Cl  0.1984  0.1984  0.0000
Cl  0.8016  0.8016  0.0000

Results for formation energy without anion corrections: -2.4, -1.1, -9.4 (in eV/f.u., following the order of the records).
Results for calculated total energy: -3.504, -5.143, -5.877 (in eV per atom, following the order of the records).